No. 1
## SrZr2SnO6 (PBE-GGA)

Data for a geometry-optimized SrZr2SnO6 structure.

The structure in extended XYZ format:
```
10
Lattice="4.091 -4.151 0.000 4.091 4.151 0.000 0.000 0.000 4.234" Properties=species:S:1:pos:R:3 pbc="T T T"
Sr 0.000 0.000 0.000
Zr 2.045 2.075 2.117
Zr 2.045 -2.075 2.117
Sn 4.091 0.000 0.000
O 2.045 2.075 0.000
O 4.091 2.602 2.117
O 2.535 0.000 2.117
O 2.045 -2.075 0.000
O 5.647 0.000 2.117
O 4.091 -2.602 2.117
```

Computed properties:
- Uncorrected formation energy: -2773 meV per atom
- V: 144 Å³/f.u.
- N(E_F): 0.00 states/eV per atom
- Total DFT energy (no corrections): -80.26 eV per cell
- ρ: 5.60 g/cm3
- E above lowest polymorph: 0.000 eV per atom
- Magnetization: 0.00 μB/f.u.



No. 2
## NbGa2SbOs (PBE-GGA)

Data for a geometry-optimized NbGa2SbOs structure.

The structure in extended XYZ format:
```
5
Lattice="4.731 0.000 0.000 0.000 4.731 0.000 0.000 0.000 5.226" Properties=species:S:1:pos:R:3 pbc="T T T"
Nb 0.000 0.000 0.000
Ga 0.000 2.366 2.613
Ga 2.366 0.000 2.613
Sb 2.366 2.366 0.000
Os 2.366 2.366 2.613
```

Computed properties:
- Uncorrected formation energy: 817 meV per atom
- V: 117 Å³/f.u.
- N(E_F): 0.94 states/eV per atom
- Total DFT energy (no corrections): -27.39 eV per cell
- ρ: 7.73 g/cm3
- Magnetization: 3.67 μB/f.u.



No. 3
## SbAsO2F (PBE-GGA)

Data for a geometry-optimized SbAsO2F structure.

The structure in extended XYZ format:
```
5
Lattice="4.203 0.000 0.000 0.000 4.203 0.000 0.000 0.000 4.341" Properties=species:S:1:pos:R:3 pbc="T T T"
Sb 0.000 0.000 0.000
As 2.102 2.102 2.170
O 0.000 2.102 0.000
O 2.102 0.000 0.000
F 0.000 0.000 2.170
```

Computed properties:
- Uncorrected formation energy: -527 meV per atom
- V: 77 Å³/f.u.
- N(E_F): 0.63 states/eV per atom
- Total DFT energy (no corrections): -23.19 eV per cell
- ρ: 5.36 g/cm3
- Magnetization: 1.71 μB/f.u.